The following is a DFT calculation (PBE-GGA) of a relaxed structure of Tb6Pm2Y3Pb.

DOS(E_F) (states/eV/f.u.): 14.24
Total magnetization (μB/atom): 0.000
V (Å³/f.u.): 379.28
Raw total energy (Ry per atom): -0.3743

```
data_Tb6Pm2Y3Pb
_cell_length_a 6.1352
_cell_length_b 10.6328
_cell_length_c 11.8076
_cell_angle_alpha 90.00
_cell_angle_beta 100.00
_cell_angle_gamma 90.00
_space_group_name_H-M_alt 'C 1 2/m 1'
_space_group_IT_number 12
loop_
_space_group_symop_operation_xyz
'x,y,z'
'-x,-y,-z'
'-x,y,-z'
'x,-y,z'
'x+1/2,y+1/2,z'
'-x+1/2,-y+1/2,-z'
'-x+1/2,y+1/2,-z'
'x+1/2,-y+1/2,z'
loop_
_atom_site_label
_atom_site_fract_x
_atom_site_fract_y
_atom_site_fract_z
_atom_site_occupancy
Tb1 0.2436 0.0000 0.2495 1
Tb2 0.2463 0.1635 0.7495 1
Pm1 0.0000 0.3338 0.5000 1
Y1 0.0000 0.1673 0.0000 1
Y2 0.0000 0.5000 0.0000 1
Pb1 0.0000 0.0000 0.5000 1
```